Record 1
The following is a PBE calculation of crystalline HfGaAu at its relaxed geometry, from Alexandria via LeMat-Bulk.

Cell: 3.1136 4.4299 7.9142 Å, 90.00 90.00 90.00°
Fractional coordinates of all 6 atoms:
1 Hf 0.0000 0.0000 0.0000
2 Hf 0.0000 0.5000 0.5000
3 Ga 0.5000 0.0000 0.3380
4 Ga 0.5000 0.0000 0.6620
5 Au 0.5000 0.5000 0.1729
6 Au 0.5000 0.5000 0.8271

Formation energy from the elements ... -0.47 eV/atom
Volume ... 18.19 Å³/atom
Space group ... Pmmm, No. 47

Record 2
The following is a PBE calculation of crystalline LaBePt4 at its relaxed geometry, from Alexandria via LeMat-Bulk.

Cell: 5.3907 5.3907 5.3907 Å, 60.00 60.00 60.00°
Fractional coordinates of all 6 atoms:
1 La 0.0000 0.0000 0.0000
2 Be 0.2500 0.2500 0.2500
3 Pt 0.1279 0.6240 0.6240
4 Pt 0.6240 0.1279 0.6240
5 Pt 0.6240 0.6240 0.1279
6 Pt 0.6240 0.6240 0.6240

Formation energy from the elements ... -0.54 eV/atom
Volume ... 18.46 Å³/atom
Space group ... F-43m, No. 216

Record 3
The following is a PBE calculation of crystalline BeMoRh2Pb at its relaxed geometry, from Alexandria via LeMat-Bulk.

Cell: 4.9720 4.9720 4.3828 Å, 90.00 90.00 90.00°
Fractional coordinates of all 5 atoms:
1 Be 0.0000 0.0000 0.0000
2 Mo 0.5000 0.5000 0.0000
3 Rh 0.0000 0.5000 0.5000
4 Rh 0.5000 0.0000 0.5000
5 Pb 0.0000 0.0000 0.5000

Formation energy from the elements ... 1.74 eV/atom
Volume ... 21.67 Å³/atom
Space group ... P4/mmm, No. 123

Record 4
The following is a PBE calculation of crystalline Pm4Ho3Er8 at its relaxed geometry, from Alexandria via LeMat-Bulk.

Cell: 12.3984 12.3984 12.3984 Å, 32.38 32.38 32.38°
Fractional coordinates of all 15 atoms:
1 Pm 0.0000 0.0000 0.0000
2 Pm 0.1635 0.1635 0.1635
3 Pm 0.5000 0.5000 0.5000
4 Pm 0.8365 0.8365 0.8365
5 Ho 0.0000 0.5000 0.5000
6 Ho 0.5000 0.0000 0.5000
7 Ho 0.5000 0.5000 0.0000
8 Er 0.2499 0.2499 0.7471
9 Er 0.2499 0.7471 0.2499
10 Er 0.2529 0.7501 0.7501
11 Er 0.2553 0.2553 0.2553
12 Er 0.7447 0.7447 0.7447
13 Er 0.7471 0.2499 0.2499
14 Er 0.7501 0.2529 0.7501
15 Er 0.7501 0.7501 0.2529

Formation energy from the elements ... 0.12 eV/atom
Volume ... 32.40 Å³/atom
Space group ... R-3m, No. 166
Distance to the lowest polymorph of the same formula ... 0.0 meV per atom

Record 5
The following is a PBE calculation of crystalline CdB3Br at its relaxed geometry, from Alexandria via LeMat-Bulk.

Cell: 4.5431 4.5431 4.5431 Å, 90.00 90.00 90.00°
Fractional coordinates of all 5 atoms:
1 Cd 0.0000 0.0000 0.0000
2 B 0.0000 0.0000 0.5000
3 B 0.0000 0.5000 0.0000
4 B 0.5000 0.0000 0.0000
5 Br 0.5000 0.5000 0.5000

Volume ... 18.75 Å³/atom
Space group ... Pm-3m, No. 221
Distance to the lowest polymorph of the same formula ... 0.0 meV per atom

Record 6
The following is a PBE calculation of crystalline MnMoAu2 at its relaxed geometry, from Alexandria via LeMat-Bulk.

Cell: 3.0350 3.0350 25.0518 Å, 90.00 90.00 120.00°
Fractional coordinates of all 12 atoms:
1 Mn 0.0000 0.0000 0.0000
2 Mn 0.3333 0.6667 0.6667
3 Mn 0.6667 0.3333 0.3333
4 Mo 0.0000 0.0000 0.2728
5 Mo 0.3333 0.6667 0.9394
6 Mo 0.6667 0.3333 0.6061
7 Au 0.0000 0.0000 0.5133
8 Au 0.0000 0.0000 0.7525
9 Au 0.3333 0.6667 0.1800
10 Au 0.3333 0.6667 0.4191
11 Au 0.6667 0.3333 0.0858
12 Au 0.6667 0.3333 0.8466

Formation energy from the elements ... 0.27 eV/atom
Volume ... 16.65 Å³/atom
Space group ... R3m, No. 160
Distance to the lowest polymorph of the same formula ... 139.9 meV per atom

Record 7
The following is a PBE calculation of crystalline Ac2MgSnPd6 at its relaxed geometry, from Alexandria via LeMat-Bulk.

Cell: 5.7041 6.8956 6.9168 Å, 80.07 65.68 65.57°
Fractional coordinates of all 10 atoms:
1 Ac 0.2473 0.2200 0.2852
2 Ac 0.7527 0.7800 0.7148
3 Mg 0.5000 0.5000 0.5000
4 Sn 0.0000 0.0000 0.0000
5 Pd 0.2471 0.7569 0.2573
6 Pd 0.2539 0.5801 0.9142
7 Pd 0.2598 0.2442 0.7432
8 Pd 0.7402 0.7558 0.2568
9 Pd 0.7461 0.4199 0.0858
10 Pd 0.7529 0.2431 0.7427

Formation energy from the elements ... -0.66 eV/atom
Volume ... 22.57 Å³/atom
Space group ... P-1, No. 2

Record 8
The following is a PBE calculation of crystalline AcPr2Tl9 at its relaxed geometry, from Alexandria via LeMat-Bulk.

Cell: 4.9095 4.9095 14.7174 Å, 90.00 90.00 90.00°
Fractional coordinates of all 12 atoms:
1 Ac 0.0000 0.0000 0.0000
2 Pr 0.0000 0.0000 0.3386
3 Pr 0.0000 0.0000 0.6614
4 Tl 0.0000 0.5000 0.1734
5 Tl 0.0000 0.5000 0.5000
6 Tl 0.0000 0.5000 0.8266
7 Tl 0.5000 0.0000 0.1734
8 Tl 0.5000 0.0000 0.5000
9 Tl 0.5000 0.0000 0.8266
10 Tl 0.5000 0.5000 0.0000
11 Tl 0.5000 0.5000 0.3353
12 Tl 0.5000 0.5000 0.6647

Formation energy from the elements ... -0.32 eV/atom
Volume ... 29.56 Å³/atom
Space group ... P4/mmm, No. 123